The following is a DFT calculation (GGA-PBE) of ZnCoTe2 after structural relaxation.

Cell: 4.956 4.956 4.303 Å, 107.77 107.77 102.63°
Element x y z (fractional)
Zn  0.000  0.000  0.000
Co  0.500  0.500  0.000
Te  0.000  0.500  0.500
Te  0.500  0.000  0.500

Values from the calculation:
Density of states at the Fermi level (states/eV per cell): 3.2
Raw formation energy (eV/atom): 0.320
E_tot (eV per atom): -3.346
Calculated volume (Å³ per cell): 90.0